# Ta4InRe

A geometry-optimized Ta4InRe structure (PBEsol, the Alexandria database).

The structure belongs to space group F-43m (No. 216); the cell edges are 7.5484, 7.5484 and 7.5484 Å and the angles 90.00°, 90.00° and 90.00°. The distinct sites, in fractional coordinates, are Ta at (0.1247, 0.1247, 0.1247), In at (0.0000, 0.0000, 0.5000) and Re at (0.2500, 0.2500, 0.7500).

Its density is 15.8 g cm⁻³. The calculation puts the energy relative to the elements at 245 kJ/mol of formula units. The total magnetization comes out at 0.00 Bohr magnetons per cell.

---

# LiPbS2

A geometry-optimized LiPbS2 structure (PBEsol, the Alexandria database).

The structure belongs to space group I-42d (No. 122); the cell edges are 5.7143, 5.7143 and 12.3439 Å and the angles 90.00°, 90.00° and 90.00°. The distinct sites, in fractional coordinates, are Li at (0.0000, 0.0000, 0.0000), Pb at (0.0000, 0.0000, 0.5000) and S at (0.2151, 0.2500, 0.1250).

Its density is 4.6 g cm⁻³. Its formation energy from raw total energies is -562.5 meV per atom. The total magnetization comes out at 0.00 Bohr magnetons per cell.

---

# CaB2H8

A geometry-optimized CaB2H8 structure (PBEsol, the Alexandria database).

The structure belongs to space group P4_2/m (No. 84); the cell edges are 6.5133, 6.5133 and 4.2857 Å and the angles 90.00°, 90.00° and 90.00°. The distinct sites, in fractional coordinates, are Ca at (0.0000, 0.5000, 0.0000), B at (0.1880, 0.7288, 0.5000), H at (0.0123, 0.6623, 0.5000), H at (0.0850, 0.1631, 0.0000) and H at (0.2844, 0.6723, 0.2675).

Its density is 1.3 g cm⁻³. The total magnetization comes out at 0.00 Bohr magnetons per cell. Its excess energy over the best structure of this formula in the dataset is 9 meV per atom.

---

# MnInSi2

A geometry-optimized MnInSi2 structure (PBEsol, the Alexandria database).

The structure belongs to space group P2/m (No. 10); the cell edges are 4.7403, 2.9635 and 4.8241 Å and the angles 90.00°, 111.81° and 90.00°. The distinct sites, in fractional coordinates, are Mn at (0.0000, 0.0000, 0.0000), In at (0.5000, 0.5000, 0.0000), Si at (0.0000, 0.5000, 0.5000) and Si at (0.5000, 0.0000, 0.5000).

Its density is 6.0 g cm⁻³. Its formation energy from raw total energies is 402.2 meV per atom. The total magnetization comes out at 3.04 Bohr magnetons per cell.